MgScBrF PBE optimized geometry; total energy = -17.842 eV/cell; ΔE to the lowest computed polymorph = 0.052 eV/atom; formation energy (no corrections) = -1.593 eV/atom; theoretical density = 3.2 Mg/m³; M_tot = 0.296 μB/f.u.
1.0
3.040 -1.757 0.000
3.040 1.757 0.000
-0.004 0.000 8.080
Mg Sc Br F
1 1 1 1
Cartesian
0.000 0.000 0.000
2.017 0.000 5.499
4.052 0.000 1.742
6.069 0.000 4.636